No. 1
BeCu3Pt, optimized geometry, DFT PBE; ΔE to the lowest computed polymorph = 0.000 eV per atom; spin magnetization = 0.00 μB/f.u.; space group = No. 221; E = -4.06 eV/atom; energy relative to the elements = 352.7 meV/atom
1.0
-0.696 3.922 0.298
-2.622 -0.688 2.934
2.932 0.316 2.694
Be Cu Pt
1 3 1
direct
0.000 0.000 0.000
0.000 0.500 0.000
0.000 0.000 0.500
0.500 0.000 0.000
0.500 0.500 0.500


No. 2
Sr4TmPa3N8, optimized geometry, DFT PBE; spin magnetization = 0.00 μB/f.u.; uncorrected formation energy = -1.380 eV per atom; space group = No. 166; E = -8.02 eV/atom
1.0
-6.648 0.472 2.664
-1.708 -6.361 -3.135
5.662 0.362 4.396
Sr Tm Pa N
4 1 3 8
direct
0.500 0.000 0.000
0.500 0.000 0.500
0.000 0.000 0.000
0.000 0.000 0.500
0.000 0.500 0.000
0.500 0.500 0.000
0.500 0.500 0.500
0.000 0.500 0.500
0.238 0.696 0.958
0.238 0.696 0.476
0.268 0.304 0.536
0.720 0.696 0.958
0.280 0.304 0.042
0.732 0.696 0.464
0.762 0.304 0.524
0.762 0.304 0.042


No. 3
Pm3HoPd2, optimized geometry, DFT PBE; spin magnetization = 0.00 μB/f.u.; space group = No. 72; E = -5.31 eV/atom; energy relative to the elements = -444.4 meV/atom
1.0
7.009 0.000 0.000
0.000 7.280 0.000
-3.505 -3.640 6.986
Pm Ho Pd
6 2 4
direct
0.500 0.250 0.000
0.500 0.750 0.000
0.768 0.018 0.536
0.232 0.482 0.464
0.232 0.982 0.464
0.768 0.518 0.536
0.000 0.500 0.000
0.000 0.000 0.000
0.573 0.362 0.724
0.849 0.138 0.276
0.151 0.862 0.724
0.427 0.638 0.276


No. 4
K2AlI5, optimized geometry, DFT PBE; ΔE to the lowest computed polymorph = 0.024 eV per atom; spin magnetization = 0.00 μB/f.u.; uncorrected formation energy = -1.011 eV per atom; space group = No. 107; E = -2.72 eV/atom
1.0
-4.067 4.316 6.225
4.326 -4.477 5.930
3.505 3.551 -6.110
K Al I
2 1 5
direct
0.256 0.756 0.512
0.756 0.256 0.512
0.966 0.966 0.931
0.802 0.242 0.044
0.242 0.242 0.044
0.802 0.802 0.044
0.242 0.802 0.044
0.711 0.711 0.421


No. 5
Er2TmAu, optimized geometry, DFT PBE; ΔE to the lowest computed polymorph = 0.419 eV per atom; spin magnetization = 0.00 μB/f.u.; space group = No. 166; E = -4.26 eV/atom; energy relative to the elements = -44.7 meV/atom
1.0
3.611 0.000 0.000
1.805 3.127 0.000
1.805 1.042 10.741
Tm Au Er
1 1 2
direct
0.000 0.000 0.000
0.500 0.500 0.500
0.104 0.104 0.688
0.896 0.896 0.312


> Look up the E of the fourth one.

-2.72 eV/atom


> What is the E in the fifth record?

-4.26 eV/atom


Copy entry 5 word for word.
Er2TmAu, optimized geometry, DFT PBE; ΔE to the lowest computed polymorph = 0.419 eV per atom; spin magnetization = 0.00 μB/f.u.; space group = No. 166; E = -4.26 eV/atom; energy relative to the elements = -44.7 meV/atom
1.0
3.611 0.000 0.000
1.805 3.127 0.000
1.805 1.042 10.741
Tm Au Er
1 1 2
direct
0.000 0.000 0.000
0.500 0.500 0.500
0.104 0.104 0.688
0.896 0.896 0.312


> Which value of spin magnetization does entry 3 give?

0.00 μB/f.u.